Record 1
A relaxed CsCu3Te4Ir crystal. Source: the Open Quantum Materials Database, functional PBE-GGA.

Cell and atoms, written as extended XYZ:
```
9
Lattice="6.695 0.000 0.000 0.000 6.695 0.000 0.000 0.000 6.695" Properties=species:S:1:pos:R:3 pbc="T T T"
Cs 0.000 0.000 0.000
Cu 0.000 3.347 3.347
Cu 3.347 0.000 3.347
Cu 3.347 3.347 0.000
Te 1.904 1.904 1.904
Te 1.904 4.790 4.790
Te 4.790 1.904 4.790
Te 4.790 4.790 1.904
Ir 3.347 3.347 3.347
```

Summary:
M_tot: 0.18 μB per cell
E: -3.629 eV per atom
SG: P-43m (215)

=====

Record 2
A relaxed Dy3Mg3GaIrPd crystal. Source: the Open Quantum Materials Database, functional PBE-GGA.

Cell and atoms, written as extended XYZ:
```
9
Lattice="7.562 0.000 0.000 -3.781 6.549 0.000 0.000 0.000 3.966" Properties=species:S:1:pos:R:3 pbc="T T T"
Dy -2.091 3.912 0.000
Dy 1.439 2.782 0.000
Dy 0.652 6.405 0.000
Mg 1.859 0.015 1.983
Mg 2.865 4.931 1.983
Mg 6.620 1.603 1.983
Ga 3.781 2.183 1.983
Ir 0.000 4.366 1.983
Pd 0.000 0.000 0.000
```

Summary:
M_tot: 0.01 μB per cell
E: -4.578 eV per atom
SG: P-6 (174)

=====

Record 3
A relaxed NdTmNO crystal. Source: the Open Quantum Materials Database, functional PBE-GGA.

Cell and atoms, written as extended XYZ:
```
8
Lattice="4.717 0.000 0.000 0.000 4.717 0.000 0.000 0.000 5.873" Properties=species:S:1:pos:R:3 pbc="T T T"
Nd 1.179 3.538 0.000
Nd 3.538 1.179 0.000
Tm 1.179 1.179 2.751
Tm 3.538 3.538 3.121
N 1.179 1.179 0.650
N 3.538 3.538 5.222
O 1.179 3.538 2.936
O 3.538 1.179 2.936
```

Summary:
M_tot: 0.00 μB per cell
E above lowest polymorph: 111 meV/atom
SG: P4/nmm (129)

=====

Record 4
A relaxed NbBiN2O crystal. Source: the Open Quantum Materials Database, functional PBE-GGA.

Cell and atoms, written as extended XYZ:
```
20
Lattice="7.834 0.000 0.000 0.000 5.894 0.000 0.000 0.000 5.795" Properties=species:S:1:pos:R:3 pbc="T T T"
Nb 1.958 1.474 0.000
Nb 1.958 4.420 2.897
Nb 5.875 1.474 0.000
Nb 5.875 4.420 2.897
Bi 0.000 1.204 2.944
Bi 0.000 4.690 0.047
Bi 3.917 1.742 2.953
Bi 3.917 4.152 0.056
N 1.491 0.010 4.532
N 1.491 5.884 1.634
N 2.425 2.947 1.645
N 2.425 2.947 4.542
N 5.409 2.947 1.645
N 5.409 2.947 4.542
N 6.343 0.010 4.532
N 6.343 5.884 1.634
O 0.000 2.007 0.206
O 0.000 3.887 3.103
O 3.917 0.941 0.202
O 3.917 4.953 3.099
```

Summary:
M_tot: 0.01 μB per cell
E: -7.822 eV per atom
SG: Pmc2_1 (26)

=====

Record 5
A relaxed CuHgGe crystal. Source: the Open Quantum Materials Database, functional PBE-GGA.

Cell and atoms, written as extended XYZ:
```
3
Lattice="0.000 3.075 3.075 3.075 0.000 3.075 3.075 3.075 0.000" Properties=species:S:1:pos:R:3 pbc="T T T"
Cu 0.000 0.000 0.000
Hg 1.538 1.538 1.538
Ge 4.613 4.613 4.613
```

Summary:
E above lowest polymorph: 0 meV/atom
SG: F-43m (216)

=====

Record 6
A relaxed PrHfSb crystal. Source: the Open Quantum Materials Database, functional PBE-GGA.

Cell and atoms, written as extended XYZ:
```
3
Lattice="0.000 3.672 3.672 3.672 0.000 3.672 3.672 3.672 0.000" Properties=species:S:1:pos:R:3 pbc="T T T"
Pr 0.000 0.000 0.000
Hf 5.508 5.508 5.508
Sb 1.836 1.836 1.836
```

Summary:
M_tot: 2.08 μB per cell
E: -5.682 eV per atom
SG: F-43m (216)

=====

Record 7
A relaxed NaCu3PdSe4 crystal. Source: the Open Quantum Materials Database, functional PBE-GGA.

Cell and atoms, written as extended XYZ:
```
9
Lattice="5.876 0.000 0.000 0.000 5.876 0.000 0.000 0.000 5.876" Properties=species:S:1:pos:R:3 pbc="T T T"
Na 0.000 0.000 0.000
Cu 0.000 2.938 2.938
Cu 2.938 0.000 2.938
Cu 2.938 2.938 0.000
Pd 2.938 2.938 2.938
Se 1.537 1.537 1.537
Se 1.537 4.339 4.339
Se 4.339 1.537 4.339
Se 4.339 4.339 1.537
```

Summary:
E: -3.686 eV per atom
SG: P-43m (215)

=====

Record 8
A relaxed Sr2HgIr crystal. Source: the Open Quantum Materials Database, functional PBE-GGA.

Cell and atoms, written as extended XYZ:
```
4
Lattice="0.000 3.675 3.675 3.675 0.000 3.675 3.675 3.675 0.000" Properties=species:S:1:pos:R:3 pbc="T T T"
Sr 0.000 0.000 0.000
Sr 1.837 1.837 1.837
Hg 3.675 3.675 3.675
Ir 5.512 5.512 5.512
```

Summary:
M_tot: 0.00 μB per cell
E: -3.065 eV per atom
SG: F-43m (216)

=====

Record 9
A relaxed RbLaFeSe3 crystal. Source: the Open Quantum Materials Database, functional PBE-GGA.

Cell and atoms, written as extended XYZ:
```
12
Lattice="2.154 -7.608 0.000 2.154 7.608 0.000 0.000 0.000 11.430" Properties=species:S:1:pos:R:3 pbc="T T T"
Rb 2.154 3.916 8.572
Rb 2.154 -3.916 2.857
La 2.154 0.000 0.000
La 2.154 0.000 5.715
Fe 2.154 7.127 2.857
Fe 2.154 -7.127 8.572
Se 2.154 5.713 0.880
Se 2.154 5.713 4.835
Se 2.154 0.882 2.857
Se 2.154 -0.882 8.572
Se 2.154 -5.713 6.595
Se 2.154 -5.713 10.550
```

Summary:
M_tot: 7.99 μB per cell
E above lowest polymorph: 0 meV/atom
SG: Cmcm (63)

=====

Record 10
A relaxed Hf3Nb2Pd2 crystal. Source: the Open Quantum Materials Database, functional PBE-GGA.

Cell and atoms, written as extended XYZ:
```
7
Lattice="2.343 1.353 7.290 -2.343 1.353 7.290 0.000 -2.706 7.290" Properties=species:S:1:pos:R:3 pbc="T T T"
Hf 0.000 0.000 0.000
Hf 0.000 0.000 5.563
Hf 0.000 0.000 11.152
Nb 0.000 0.000 2.689
Nb 0.000 0.000 14.107
Pd 0.000 0.000 8.523
Pd 0.000 0.000 19.109
```

Summary:
M_tot: 1.08 μB per cell
energy of formation: 0.123 eV per atom
SG: R3m (160)

=====

Record 11
A relaxed MgNbCd crystal. Source: the Open Quantum Materials Database, functional PBE-GGA.

Cell and atoms, written as extended XYZ:
```
3
Lattice="0.000 3.236 3.236 3.236 0.000 3.236 3.236 3.236 0.000" Properties=species:S:1:pos:R:3 pbc="T T T"
Mg 0.000 0.000 0.000
Nb 3.236 3.236 3.236
Cd 1.618 1.618 1.618
```

Summary:
M_tot: 0.88 μB per cell
E: -3.419 eV per atom
SG: F-43m (216)

=====

Record 12
A relaxed ZrCuNiSb crystal. Source: the Open Quantum Materials Database, functional PBE-GGA.

Cell and atoms, written as extended XYZ:
```
4
Lattice="0.000 3.220 3.220 3.220 0.000 3.220 3.220 3.220 0.000" Properties=species:S:1:pos:R:3 pbc="T T T"
Zr 0.000 0.000 0.000
Cu 1.610 1.610 1.610
Ni 4.830 4.830 4.830
Sb 3.220 3.220 3.220
```

Summary:
M_tot: 0.00 μB per cell
E above lowest polymorph: 0 meV/atom
SG: F-43m (216)

=====

Question: What is the formula in the tenth record?
Answer: Hf3Nb2Pd2